Entry 1:
Compound: Li2MgTeO4
Source: Alexandria via LeMat-Bulk
Functional: GGA-PBE
Structure: relaxed

The structure belongs to space group I2_12_12_1 (No. 24); the cell edges are 6.296, 7.469 and 8.068 Å and the angles 90.00°, 90.00° and 90.00°. The asymmetric unit holds Li at (0.044, 0.000, 0.250), Li at (0.250, 0.141, 0.000), Mg at (0.250, 0.245, 0.500), Te at (0.020, 0.500, 0.750), O at (0.002, 0.055, 0.493) and O at (0.207, 0.181, 0.767).

For the density of states at the Fermi level, the calculation gives 0.0 states/eV/cell. The value obtained for the theoretical density is 4.02 g/cm3. The uncorrected formation energy comes out at -1.795 eV per atom. The total moment is 0.00 Bohr magnetons per cell.

***

Entry 2:
Compound: ScWAu
Source: Alexandria via LeMat-Bulk
Functional: GGA-PBE
Structure: relaxed

The structure belongs to space group P-6m2 (No. 187); the cell edges are 4.7111, 4.7111 and 2.8780 Å and the angles 90.00°, 90.00° and 120.00°. The asymmetric unit holds Sc at (0.0000, 0.0000, 0.0000), W at (0.6667, 0.3333, 0.5000) and Au at (0.3333, 0.6667, 0.5000).

For the density of states at the Fermi level, the calculation gives 2.3 states/eV/cell. The value obtained for the theoretical density is 12.78 g/cm3. The total moment is 0.00 Bohr magnetons per cell. The value obtained for the formation energy is 20.5 kJ/mol of atoms. The value obtained for the energy above the most stable polymorph in this dataset is 217 meV/atom.

***

Entry 3:
Compound: Tl7Au
Source: Alexandria via LeMat-Bulk
Functional: GGA-PBE
Structure: relaxed

The structure belongs to space group Fm-3m (No. 225); the cell edges are 9.758, 9.758 and 9.758 Å and the angles 90.00°, 90.00° and 90.00°. The asymmetric unit holds Tl at (0.000, 0.000, 0.000), Tl at (0.000, 0.250, 0.250) and Au at (0.000, 0.000, 0.500).

For the density of states at the Fermi level, the calculation gives 19.1 states/eV/cell. The value obtained for the theoretical density is 11.63 g/cm3. The total moment is 0.00 Bohr magnetons per cell. The value obtained for the formation energy is 5.1 kJ/mol of atoms. The value obtained for the energy above the most stable polymorph in this dataset is 39 meV/atom.

***

Entry 4:
Compound: Zr2TiSbOs
Source: Alexandria via LeMat-Bulk
Functional: GGA-PBE
Structure: relaxed

The structure belongs to space group P4/mmm (No. 123); the cell edges are 5.048, 5.048 and 4.984 Å and the angles 90.00°, 90.00° and 90.00°. The asymmetric unit holds Zr at (0.000, 0.500, 0.000), Ti at (0.000, 0.000, 0.500), Sb at (0.500, 0.500, 0.500) and Os at (0.500, 0.500, 0.000).

For the density of states at the Fermi level, the calculation gives 9.1 states/eV/cell. The value obtained for the theoretical density is 7.09 g/cm3. The uncorrected formation energy comes out at 0.645 eV per atom. The total moment is 0.00 Bohr magnetons per cell.

***

Entry 5:
Compound: ZrCN
Source: Alexandria via LeMat-Bulk
Functional: GGA-PBE
Structure: relaxed

The structure belongs to space group P2_1/m (No. 11); the cell edges are 6.439, 3.426 and 8.437 Å and the angles 90.00°, 96.33° and 90.00°. The asymmetric unit holds Zr at (0.119, 0.250, 0.384), Zr at (0.206, 0.250, 0.977), C at (0.317, 0.750, 0.214), C at (0.478, 0.750, 0.140), N at (0.059, 0.750, 0.874) and N at (0.166, 0.750, 0.526).

The value obtained for the theoretical density is 4.21 g/cm3. The uncorrected formation energy comes out at -0.457 eV per atom. The total moment is 0.00 Bohr magnetons per cell.

***

Entry 6:
Compound: TbSm3Y3Te8
Source: Alexandria via LeMat-Bulk
Functional: GGA-PBE
Structure: relaxed

The structure belongs to space group R-3m (No. 166, hexagonal axes); the cell edges are 8.7684, 8.7684 and 21.5161 Å and the angles 90.00°, 90.00° and 120.00°. The asymmetric unit holds Tb at (0.0000, 0.0000, 0.0000), Sm at (0.0000, 0.5000, 0.5000), Y at (0.0000, 0.5000, 0.0000), Te at (0.0000, 0.0000, 0.2521) and Te at (0.0086, 0.5043, 0.2500).

For the density of states at the Fermi level, the calculation gives 21.2 states/eV/cell. The value obtained for the theoretical density is 6.60 g/cm3. The uncorrected formation energy comes out at -1.409 eV per atom. The total moment is 0.00 Bohr magnetons per cell.

***

Entry 7:
Compound: CrReGe2
Source: Alexandria via LeMat-Bulk
Functional: GGA-PBE
Structure: relaxed

The structure belongs to space group I-42d (No. 122); the cell edges are 6.882, 6.882 and 5.521 Å and the angles 90.00°, 90.00° and 90.00°. The asymmetric unit holds Cr at (0.000, 0.000, 0.000), Re at (0.000, 0.000, 0.500) and Ge at (0.248, 0.750, 0.625).

For the density of states at the Fermi level, the calculation gives 15.7 states/eV/cell. The value obtained for the theoretical density is 9.74 g/cm3. The total moment is 10.23 Bohr magnetons per cell. The value obtained for the formation energy is 66.0 kJ/mol of atoms. The value obtained for the energy above the most stable polymorph in this dataset is 515 meV/atom.

***

Entry 8:
Compound: VAg2H
Source: Alexandria via LeMat-Bulk
Functional: GGA-PBE
Structure: relaxed

The structure belongs to space group I-42d (No. 122); the cell edges are 6.754, 6.754 and 5.038 Å and the angles 90.00°, 90.00° and 90.00°. The asymmetric unit holds V at (0.000, 0.000, 0.000), Ag at (0.156, 0.250, 0.625) and H at (0.000, 0.000, 0.500).

For the density of states at the Fermi level, the calculation gives 11.2 states/eV/cell. The value obtained for the theoretical density is 7.74 g/cm3. The total moment is 12.40 Bohr magnetons per cell. The value obtained for the energy above the most stable polymorph in this dataset is 0 meV/atom.